Compound: HoHfSc14
Source: the Alexandria database
Functional: PBE
Structure: relaxed

Geometry as POSCAR:
```
HoHfSc14
1.0
10.306 0.000 0.000
0.000 3.326 5.754
0.000 -3.326 5.754
Ho Hf Sc
1 1 14
Direct
0.000 0.000 0.000 Ho
0.000 0.502 0.502 Hf
0.000 0.499 0.999 Sc
0.000 0.999 0.499 Sc
0.245 0.335 0.335 Sc
0.250 0.336 0.829 Sc
0.250 0.829 0.336 Sc
0.256 0.832 0.832 Sc
0.500 0.000 0.499 Sc
0.500 0.499 0.000 Sc
0.500 0.500 0.500 Sc
0.500 0.999 0.999 Sc
0.744 0.832 0.832 Sc
0.750 0.336 0.829 Sc
0.750 0.829 0.336 Sc
0.755 0.335 0.335 Sc
```

Calculated values
As for the total energy: -6.4356 eV/atom. The formation energy comes out at 0.013 eV/atom. As for the space-group type: No. 38.

Compound: Li2Ni
Source: the Alexandria database
Functional: PBE
Structure: relaxed

Geometry as POSCAR:
```
Li2Ni
1.0
-1.285 1.285 6.104
1.285 -1.285 6.104
1.285 1.285 -6.104
Li Ni
2 1
Direct
0.147 0.147 0.000 Li
0.853 0.853 0.000 Li
0.500 0.500 0.000 Ni
```

Calculated values
As for the total energy: -3.1498 eV/atom. The formation energy comes out at 0.053 eV/atom. As for the space-group type: No. 139.

Compound: GeSF3
Source: the Alexandria database
Functional: PBE
Structure: relaxed

Geometry as POSCAR:
```
GeSF3
1.0
4.249 0.000 0.000
0.000 4.249 0.000
0.000 0.000 4.249
Ge S F
1 1 3
Direct
0.000 0.000 0.000 Ge
0.500 0.500 0.500 S
0.000 0.000 0.500 F
0.000 0.500 0.000 F
0.500 0.000 0.000 F
```

Calculated values
For the energy above the most stable polymorph in this dataset, the calculation gives 552 meV/atom. As for the total energy: -3.8589 eV/atom. Its formation energy without anion corrections is -0.987 eV per atom. As for the space-group type: No. 221.

Compound: BeGeTe3
Source: the Alexandria database
Functional: PBE
Structure: relaxed

Geometry as POSCAR:
```
BeGeTe3
1.0
5.004 0.000 0.000
0.000 5.004 0.000
0.000 0.000 5.004
Be Ge Te
1 1 3
Direct
0.000 0.000 0.000 Be
0.500 0.500 0.500 Ge
0.000 0.000 0.500 Te
0.000 0.500 0.000 Te
0.500 0.000 0.000 Te
```

Calculated values
For the energy above the most stable polymorph in this dataset, the calculation gives 0 meV/atom. As for the total energy: -3.1569 eV/atom. Its formation energy without anion corrections is 0.397 eV per atom. As for the space-group type: No. 221.

Compound: NbV3H
Source: the Alexandria database
Functional: PBE
Structure: relaxed

Geometry as POSCAR:
```
NbV3H
1.0
3.964 0.000 0.000
0.000 3.964 0.000
0.000 0.000 3.964
Nb V H
1 3 1
Direct
0.000 0.000 0.000 Nb
0.000 0.500 0.500 V
0.500 0.000 0.500 V
0.500 0.500 0.000 V
0.500 0.500 0.500 H
```

Calculated values
For the energy above the most stable polymorph in this dataset, the calculation gives 178 meV/atom. As for the total energy: -8.0315 eV/atom. As for the space-group type: No. 221.

Compound: Pm4CoI5
Source: the Alexandria database
Functional: PBE
Structure: relaxed

Geometry as POSCAR:
```
Pm4CoI5
1.0
9.856 -2.074 0.000
9.856 2.074 0.000
-2.022 0.000 8.835
Pm Co I
4 1 5
Direct
0.001 0.001 0.300 Pm
0.358 0.358 0.426 Pm
0.642 0.642 0.574 Pm
0.999 0.999 0.700 Pm
0.500 0.500 0.500 Co
0.167 0.167 0.847 I
0.175 0.175 0.327 I
0.500 0.500 0.000 I
0.825 0.825 0.673 I
0.833 0.833 0.153 I
```

Calculated values
As for the total energy: -4.4399 eV/atom. Its formation energy without anion corrections is -1.054 eV per atom. As for the space-group type: No. 12.

Compound: LiCeHoSn
Source: the Alexandria database
Functional: PBE
Structure: relaxed

Geometry as POSCAR:
```
LiCeHoSn
1.0
0.000 3.740 3.740
3.740 0.000 3.740
3.740 3.740 0.000
Li Ce Ho Sn
1 1 1 1
Direct
0.000 0.000 0.000 Li
0.250 0.250 0.250 Ce
0.750 0.750 0.750 Ho
0.500 0.500 0.500 Sn
```

Calculated values
As for the total energy: -4.4169 eV/atom. The formation energy comes out at -0.310 eV/atom. As for the space-group type: No. 216.

Compound: Pa5NiSe4
Source: the Alexandria database
Functional: PBE
Structure: relaxed

Geometry as POSCAR:
```
Pa5NiSe4
1.0
-4.531 4.531 2.860
4.531 -4.531 2.860
4.531 4.531 -2.860
Pa Ni Se
5 1 4
Direct
0.000 0.000 0.000 Pa
0.217 0.599 0.817 Pa
0.401 0.217 0.618 Pa
0.599 0.783 0.382 Pa
0.783 0.401 0.183 Pa
0.500 0.500 0.000 Ni
0.092 0.306 0.398 Se
0.306 0.908 0.213 Se
0.694 0.092 0.787 Se
0.908 0.694 0.602 Se
```

Calculated values
As for the total energy: -7.7110 eV/atom. Its formation energy without anion corrections is -0.991 eV per atom. As for the space-group type: No. 87.

Compound: TeCI3
Source: the Alexandria database
Functional: PBE
Structure: relaxed

Geometry as POSCAR:
```
TeCI3
1.0
6.016 0.000 0.000
0.000 6.016 0.000
0.000 0.000 6.016
Te C I
1 1 3
Direct
0.000 0.000 0.000 Te
0.500 0.500 0.500 C
0.000 0.000 0.500 I
0.000 0.500 0.000 I
0.500 0.000 0.000 I
```

Calculated values
For the energy above the most stable polymorph in this dataset, the calculation gives 320 meV/atom. As for the total energy: -1.8785 eV/atom. Its formation energy without anion corrections is 1.525 eV per atom. As for the space-group type: No. 221.

Compound: WBr
Source: the Alexandria database
Functional: PBE
Structure: relaxed

Geometry as POSCAR:
```
WBr
1.0
0.000 2.840 2.840
2.840 0.000 2.840
2.840 2.840 0.000
W Br
1 1
Direct
0.000 0.000 0.000 W
0.250 0.250 0.250 Br
```

Calculated values
For the energy above the most stable polymorph in this dataset, the calculation gives 1933 meV/atom. As for the total energy: -5.2973 eV/atom. Its formation energy without anion corrections is 2.016 eV per atom. As for the space-group type: No. 216.

Compound: RbMgCd2In4
Source: the Alexandria database
Functional: PBE
Structure: relaxed

Geometry as POSCAR:
```
RbMgCd2In4
1.0
2.513 1.451 11.224
-2.513 1.451 11.224
0.000 -2.901 11.224
Rb Mg Cd In
1 1 2 4
Direct
0.000 0.000 0.000 Rb
0.500 0.500 0.500 Mg
0.234 0.234 0.234 Cd
0.766 0.766 0.766 Cd
0.131 0.131 0.131 In
0.407 0.407 0.407 In
0.593 0.593 0.593 In
0.869 0.869 0.869 In
```

Calculated values
As for the total energy: -1.9621 eV/atom. The formation energy comes out at -0.044 eV/atom. As for the space-group type: No. 166.

Compound: NaHgSb3
Source: the Alexandria database
Functional: PBE
Structure: relaxed

Geometry as POSCAR:
```
NaHgSb3
1.0
5.442 0.000 0.000
0.000 5.442 0.000
0.000 0.000 5.442
Na Hg Sb
1 1 3
Direct
0.000 0.000 0.000 Na
0.500 0.500 0.500 Hg
0.000 0.000 0.500 Sb
0.000 0.500 0.000 Sb
0.500 0.000 0.000 Sb
```

Calculated values
For the energy above the most stable polymorph in this dataset, the calculation gives 222 meV/atom. As for the total energy: -2.0827 eV/atom. Its formation energy without anion corrections is 0.715 eV per atom. As for the space-group type: No. 221.

Compound: Ta4MoW5
Source: the Alexandria database
Functional: PBE
Structure: relaxed

Geometry as POSCAR:
```
Ta4MoW5
1.0
3.226 0.000 0.000
0.000 3.226 0.000
0.000 0.000 16.141
Ta Mo W
4 1 5
Direct
0.000 0.000 0.101 Ta
0.000 0.000 0.302 Ta
0.000 0.000 0.698 Ta
0.000 0.000 0.899 Ta
0.000 0.000 0.500 Mo
0.500 0.500 0.000 W
0.500 0.500 0.202 W
0.500 0.500 0.404 W
0.500 0.500 0.596 W
0.500 0.500 0.798 W
```

Calculated values
As for the total energy: -12.4067 eV/atom. The formation energy comes out at -0.106 eV/atom. As for the space-group type: No. 123.

Compound: Ga4Sb
Source: the Alexandria database
Functional: PBE
Structure: relaxed

Geometry as POSCAR:
```
Ga4Sb
1.0
5.408 0.000 0.000
0.000 5.408 0.000
0.000 0.000 5.408
Ga Sb
4 1
Direct
0.000 0.000 0.000 Ga
0.000 0.500 0.500 Ga
0.500 0.000 0.500 Ga
0.500 0.500 0.000 Ga
0.500 0.500 0.500 Sb
```

Calculated values
As for the total energy: -2.5916 eV/atom. Its formation energy without anion corrections is 0.654 eV per atom. As for the space-group type: No. 221.

Compound: GaAgN3
Source: the Alexandria database
Functional: PBE
Structure: relaxed

Geometry as POSCAR:
```
GaAgN3
1.0
4.126 0.000 0.000
0.000 4.126 0.000
0.000 0.000 4.126
Ga Ag N
1 1 3
Direct
0.000 0.000 0.000 Ga
0.500 0.500 0.500 Ag
0.000 0.500 0.500 N
0.500 0.000 0.500 N
0.500 0.500 0.000 N
```

Calculated values
As for the total energy: -3.8369 eV/atom. Its formation energy without anion corrections is 2.334 eV per atom. As for the space-group type: No. 221.

Compound: TeRu
Source: the Alexandria database
Functional: PBE
Structure: relaxed

Geometry as POSCAR:
```
TeRu
1.0
4.815 -1.664 0.000
4.815 1.664 0.000
-0.887 0.000 4.722
Te Ru
2 2
Direct
0.119 0.119 0.280 Te
0.881 0.881 0.720 Te
0.387 0.387 0.170 Ru
0.613 0.613 0.830 Ru
```

Calculated values
As for the total energy: -5.9573 eV/atom. Its formation energy without anion corrections is 0.251 eV per atom. As for the space-group type: No. 12.

Compound: TiTl2Pb
Source: the Alexandria database
Functional: PBE
Structure: relaxed

Geometry as POSCAR:
```
TiTl2Pb
1.0
1.653 0.954 11.787
-1.653 0.954 11.787
0.000 -1.909 11.787
Ti Tl Pb
1 2 1
Direct
0.000 0.000 0.000 Ti
0.081 0.081 0.081 Tl
0.919 0.919 0.919 Tl
0.500 0.500 0.500 Pb
```

Calculated values
For the energy above the most stable polymorph in this dataset, the calculation gives 34 meV/atom. As for the total energy: -3.6673 eV/atom. The formation energy comes out at 0.417 eV/atom. As for the space-group type: No. 166.

Compound: Sr3GaSb2Pd9
Source: the Alexandria database
Functional: PBE
Structure: relaxed

Geometry as POSCAR:
```
Sr3GaSb2Pd9
1.0
6.774 0.000 0.000
-3.387 5.866 0.000
0.000 0.000 9.212
Sr Ga Sb Pd
3 1 2 9
Direct
0.000 0.000 0.000 Sr
0.333 0.667 0.694 Sr
0.667 0.333 0.306 Sr
0.000 0.000 0.500 Ga
0.333 0.667 0.190 Sb
0.667 0.333 0.810 Sb
0.000 0.500 0.000 Pd
0.134 0.267 0.290 Pd
0.134 0.866 0.290 Pd
0.267 0.134 0.710 Pd
0.500 0.000 0.000 Pd
0.500 0.500 0.000 Pd
0.733 0.866 0.290 Pd
0.866 0.134 0.710 Pd
0.866 0.733 0.710 Pd
```

Calculated values
As for the total energy: -4.7018 eV/atom. Its formation energy without anion corrections is -0.498 eV per atom. As for the space-group type: No. 164.

Compound: TiNbTc3
Source: the Alexandria database
Functional: PBE
Structure: relaxed

Geometry as POSCAR:
```
TiNbTc3
1.0
4.466 0.000 0.000
0.000 4.466 0.000
0.000 0.000 4.466
Ti Nb Tc
1 1 3
Direct
0.000 0.000 0.000 Ti
0.500 0.500 0.500 Nb
0.000 0.000 0.500 Tc
0.000 0.500 0.000 Tc
0.500 0.000 0.000 Tc
```

Calculated values
For the energy above the most stable polymorph in this dataset, the calculation gives 0 meV/atom. As for the total energy: -8.7510 eV/atom. The formation energy comes out at 1.061 eV/atom. As for the space-group type: No. 221.

Compound: Na2AcTeS4
Source: the Alexandria database
Functional: PBE
Structure: relaxed

Geometry as POSCAR:
```
Na2AcTeS4
1.0
5.940 -5.750 0.000
5.940 5.750 0.000
-5.786 0.000 6.208
Na Ac Te S
4 2 2 8
Direct
0.000 0.000 0.000 Na
0.000 0.000 0.500 Na
0.000 0.500 0.000 Na
0.500 0.000 0.500 Na
0.500 0.500 0.000 Ac
0.500 0.500 0.500 Ac
0.000 0.500 0.500 Te
0.500 0.000 0.000 Te
0.201 0.709 0.467 S
0.245 0.271 0.515 S
0.271 0.245 0.015 S
0.291 0.799 0.033 S
0.709 0.201 0.967 S
0.729 0.755 0.985 S
0.755 0.729 0.485 S
0.799 0.291 0.533 S
```

Calculated values
As for the total energy: -4.3645 eV/atom. Its formation energy without anion corrections is -1.065 eV per atom. As for the space-group type: No. 15.